No. 1
{"formula": "Tl2Si", "functional": "PBE-GGA", "state": "optimized geometry", "cell": [[3.432, 0.000, 0.000], [0.000, 3.432, 0.000], [0.000, 0.000, 13.571]], "species": ["Tl", "Tl", "Tl", "Tl", "Si", "Si"], "frac_coords": [[0.000, 0.000, 0.146], [0.000, 0.000, 0.854], [0.500, 0.500, 0.354], [0.500, 0.500, 0.646], [0.000, 0.000, 0.500], [0.500, 0.500, 0.000]], "e_form_raw_ev_per_atom": 0.39, "dos_at_fermi_per_ev_atom": 0.475, "polymorph_energy_ev_per_atom": 0.184}

No. 2
{"formula": "Tl2Si", "functional": "PBE-GGA", "state": "optimized geometry", "cell": [[8.823, 0.000, 0.000], [0.000, 5.085, 0.000], [-0.009, 0.000, 3.462]], "species": ["Tl", "Tl", "Tl", "Tl", "Si", "Si"], "frac_coords": [[0.167, 0.000, 0.233], [0.333, 0.500, 0.767], [0.667, 0.500, 0.233], [0.833, 0.000, 0.767], [0.000, 0.500, 0.500], [0.500, 0.000, 0.500]], "e_form_raw_ev_per_atom": 0.44, "dos_at_fermi_per_ev_atom": 0.566, "polymorph_energy_ev_per_atom": 0.234}

No. 3
{"formula": "TlSi", "functional": "PBE-GGA", "state": "optimized geometry", "cell": [[3.729, 0.000, 0.000], [0.000, 4.273, 0.000], [0.000, 0.000, 13.669]], "species": ["Tl", "Tl", "Tl", "Tl", "Si", "Si", "Si", "Si"], "frac_coords": [[0.000, 0.250, 0.103], [0.000, 0.750, 0.897], [0.500, 0.250, 0.397], [0.500, 0.750, 0.603], [0.000, 0.250, 0.698], [0.000, 0.750, 0.302], [0.500, 0.250, 0.802], [0.500, 0.750, 0.198]], "e_form_raw_ev_per_atom": 0.34, "dos_at_fermi_per_ev_atom": 0.289}

No. 4
{"formula": "TlSi", "functional": "PBE-GGA", "state": "optimized geometry", "cell": [[6.481, 0.000, 0.000], [0.000, 6.801, 0.000], [0.000, 0.000, 8.662]], "species": ["Tl", "Tl", "Tl", "Tl", "Tl", "Tl", "Tl", "Tl", "Si", "Si", "Si", "Si", "Si", "Si", "Si", "Si"], "frac_coords": [[0.042, 0.242, 0.296], [0.198, 0.369, 0.967], [0.302, 0.631, 0.467], [0.458, 0.758, 0.796], [0.542, 0.258, 0.704], [0.698, 0.131, 0.033], [0.802, 0.869, 0.533], [0.958, 0.742, 0.204], [0.081, 0.932, 0.884], [0.128, 0.131, 0.641], [0.372, 0.869, 0.141], [0.419, 0.068, 0.384], [0.581, 0.568, 0.116], [0.628, 0.369, 0.359], [0.872, 0.631, 0.859], [0.919, 0.432, 0.616]], "e_form_raw_ev_per_atom": 0.40, "dos_at_fermi_per_ev_atom": 0.345}

No. 5
{"formula": "Tl3Si", "functional": "PBE-GGA", "state": "optimized geometry", "cell": [[4.782, 0.000, 0.000], [0.000, 4.782, 0.000], [0.000, 0.000, 9.508]], "species": ["Tl", "Tl", "Tl", "Tl", "Tl", "Tl", "Si", "Si"], "frac_coords": [[0.000, 0.000, 0.000], [0.000, 0.500, 0.250], [0.000, 0.500, 0.750], [0.500, 0.000, 0.250], [0.500, 0.000, 0.750], [0.500, 0.500, 0.500], [0.000, 0.000, 0.500], [0.500, 0.500, 0.000]], "e_form_raw_ev_per_atom": 0.37, "dos_at_fermi_per_ev_atom": 0.578, "polymorph_energy_ev_per_atom": 0.077}

No. 6
{"formula": "Tl3Si", "functional": "PBE-GGA", "state": "optimized geometry", "cell": [[10.776, 0.000, 0.000], [-5.388, 9.332, 0.000], [0.000, 0.000, 3.257]], "species": ["Tl", "Tl", "Tl", "Tl", "Tl", "Tl", "Tl", "Tl", "Tl", "Si", "Si", "Si"], "frac_coords": [[0.000, 0.500, 0.000], [0.167, 0.333, 0.333], [0.167, 0.833, 0.333], [0.333, 0.167, 0.667], [0.500, 0.000, 0.000], [0.500, 0.500, 0.000], [0.667, 0.833, 0.333], [0.833, 0.167, 0.667], [0.833, 0.667, 0.667], [0.000, 0.000, 0.000], [0.333, 0.667, 0.667], [0.667, 0.333, 0.333]], "e_form_raw_ev_per_atom": 0.38, "dos_at_fermi_per_ev_atom": 0.418, "polymorph_energy_ev_per_atom": 0.085}

No. 7
{"formula": "Tl4Si23", "functional": "PBE-GGA", "state": "optimized geometry", "cell": [[10.276, 0.000, 0.000], [0.000, 10.276, 0.000], [0.000, 0.000, 10.276]], "species": ["Tl", "Tl", "Tl", "Tl", "Tl", "Tl", "Tl", "Tl", "Si", "Si", "Si", "Si", "Si", "Si", "Si", "Si", "Si", "Si", "Si", "Si", "Si", "Si", "Si", "Si", "Si", "Si", "Si", "Si", "Si", "Si", "Si", "Si", "Si", "Si", "Si", "Si", "Si", "Si", "Si", "Si", "Si", "Si", "Si", "Si", "Si", "Si", "Si", "Si", "Si", "Si", "Si", "Si", "Si", "Si"], "frac_coords": [[0.000, 0.000, 0.000], [0.000, 0.250, 0.500], [0.000, 0.750, 0.500], [0.250, 0.500, 0.000], [0.500, 0.000, 0.250], [0.500, 0.000, 0.750], [0.500, 0.500, 0.500], [0.750, 0.500, 0.000], [0.000, 0.307, 0.118], [0.000, 0.307, 0.882], [0.000, 0.500, 0.250], [0.000, 0.500, 0.750], [0.000, 0.693, 0.118], [0.000, 0.693, 0.882], [0.118, 0.000, 0.307], [0.118, 0.000, 0.693], [0.184, 0.184, 0.184], [0.184, 0.184, 0.816], [0.184, 0.816, 0.184], [0.184, 0.816, 0.816], [0.193, 0.500, 0.382], [0.193, 0.500, 0.618], [0.250, 0.000, 0.500], [0.307, 0.118, 0.000], [0.307, 0.882, 0.000], [0.316, 0.316, 0.316], [0.316, 0.316, 0.684], [0.316, 0.684, 0.316], [0.316, 0.684, 0.684], [0.382, 0.193, 0.500], [0.382, 0.807, 0.500], [0.500, 0.250, 0.000], [0.500, 0.382, 0.193], [0.500, 0.382, 0.807], [0.500, 0.618, 0.193], [0.500, 0.618, 0.807], [0.500, 0.750, 0.000], [0.618, 0.193, 0.500], [0.618, 0.807, 0.500], [0.684, 0.316, 0.316], [0.684, 0.316, 0.684], [0.684, 0.684, 0.316], [0.684, 0.684, 0.684], [0.693, 0.118, 0.000], [0.693, 0.882, 0.000], [0.750, 0.000, 0.500], [0.807, 0.500, 0.382], [0.807, 0.500, 0.618], [0.816, 0.184, 0.184], [0.816, 0.184, 0.816], [0.816, 0.816, 0.184], [0.816, 0.816, 0.816], [0.882, 0.000, 0.307], [0.882, 0.000, 0.693]], "e_form_raw_ev_per_atom": 0.08, "dos_at_fermi_per_ev_atom": 0.364}

No. 8
{"formula": "TlSi2", "functional": "PBE-GGA", "state": "optimized geometry", "cell": [[3.403, 0.000, 0.000], [0.000, 3.403, 0.000], [0.000, 0.000, 11.580]], "species": ["Tl", "Tl", "Si", "Si", "Si", "Si"], "frac_coords": [[0.000, 0.000, 0.000], [0.500, 0.500, 0.500], [0.000, 0.000, 0.274], [0.000, 0.000, 0.726], [0.500, 0.500, 0.226], [0.500, 0.500, 0.774]], "e_form_raw_ev_per_atom": 0.42, "dos_at_fermi_per_ev_atom": 0.496, "polymorph_energy_ev_per_atom": 0.186}

No. 9
{"formula": "Tl2Si", "functional": "PBE-GGA", "state": "optimized geometry", "cell": [[6.275, 0.000, 0.000], [0.000, 6.328, 0.000], [0.000, 0.000, 4.379]], "species": ["Tl", "Tl", "Tl", "Tl", "Si", "Si"], "frac_coords": [[0.113, 0.233, 0.000], [0.387, 0.733, 0.500], [0.613, 0.267, 0.500], [0.887, 0.767, 0.000], [0.000, 0.500, 0.500], [0.500, 0.000, 0.000]], "e_form_raw_ev_per_atom": 0.38, "dos_at_fermi_per_ev_atom": 0.344, "polymorph_energy_ev_per_atom": 0.173}

No. 10
{"formula": "TlSi2", "functional": "PBE-GGA", "state": "optimized geometry", "cell": [[5.097, 0.000, 0.000], [-2.549, 4.414, 0.000], [0.000, 0.000, 5.552]], "species": ["Tl", "Tl", "Si", "Si", "Si", "Si"], "frac_coords": [[0.333, 0.667, 0.250], [0.667, 0.333, 0.750], [0.000, 0.000, 0.000], [0.000, 0.000, 0.500], [0.333, 0.667, 0.750], [0.667, 0.333, 0.250]], "e_form_raw_ev_per_atom": 0.79, "dos_at_fermi_per_ev_atom": 0.531, "polymorph_energy_ev_per_atom": 0.552}

No. 11
{"formula": "Tl2Si", "functional": "PBE-GGA", "state": "optimized geometry", "cell": [[3.444, 0.000, 0.000], [0.000, 3.444, 0.000], [0.000, 0.000, 27.903]], "species": ["Tl", "Tl", "Tl", "Tl", "Tl", "Tl", "Tl", "Tl", "Si", "Si", "Si", "Si"], "frac_coords": [[0.000, 0.250, 0.305], [0.000, 0.250, 0.445], [0.000, 0.750, 0.555], [0.000, 0.750, 0.695], [0.500, 0.250, 0.055], [0.500, 0.250, 0.195], [0.500, 0.750, 0.805], [0.500, 0.750, 0.945], [0.000, 0.250, 0.875], [0.000, 0.750, 0.125], [0.500, 0.250, 0.625], [0.500, 0.750, 0.375]], "e_form_raw_ev_per_atom": 0.40, "dos_at_fermi_per_ev_atom": 0.416, "polymorph_energy_ev_per_atom": 0.193}

No. 12
{"formula": "TlSi", "functional": "PBE-GGA", "state": "optimized geometry", "cell": [[7.230, 0.000, 0.000], [0.000, 7.230, 0.000], [0.000, 0.000, 7.230]], "species": ["Tl", "Tl", "Tl", "Tl", "Tl", "Tl", "Tl", "Tl", "Si", "Si", "Si", "Si", "Si", "Si", "Si", "Si"], "frac_coords": [[0.125, 0.125, 0.125], [0.125, 0.625, 0.625], [0.375, 0.375, 0.875], [0.375, 0.875, 0.375], [0.625, 0.125, 0.625], [0.625, 0.625, 0.125], [0.875, 0.375, 0.375], [0.875, 0.875, 0.875], [0.125, 0.125, 0.625], [0.125, 0.625, 0.125], [0.375, 0.375, 0.375], [0.375, 0.875, 0.875], [0.625, 0.125, 0.125], [0.625, 0.625, 0.625], [0.875, 0.375, 0.875], [0.875, 0.875, 0.375]], "e_form_raw_ev_per_atom": 0.68, "dos_at_fermi_per_ev_atom": 0.970}